(1)
Density functional theory data (PBE-GGA) for YFeSi2 after structural relaxation.

```
YFeSi2
1.0
-2.331 2.331 7.386
2.331 -2.331 7.386
2.331 2.331 -7.386
Y Fe Si
2 2 4
Direct
0.000 0.000 0.000 Y
0.750 0.250 0.500 Y
0.250 0.750 0.500 Fe
0.500 0.500 0.000 Fe
0.362 0.625 0.237 Si
0.375 0.612 0.737 Si
0.388 0.125 0.763 Si
0.875 0.638 0.263 Si
```

Properties
- ΔE_f (raw) (eV per atom) = -0.240
- M_tot (μB/f.u.) = 0.89
- calculated volume (Å³/cell) = 160.5


(2)
Density functional theory data (PBE-GGA) for YFe2Si2 after structural relaxation.

```
YFe2Si2
1.0
-1.980 1.980 4.768
1.980 -1.980 4.768
1.980 1.980 -4.768
Y Fe Si
1 2 2
Direct
0.000 0.000 0.000 Y
0.250 0.750 0.500 Fe
0.750 0.250 0.500 Fe
0.366 0.366 0.000 Si
0.634 0.634 0.000 Si
```

Properties
- ΔE_f (raw) (eV per atom) = -0.678
- M_tot (μB/f.u.) = 0.00
- calculated volume (Å³/cell) = 74.7


(3)
Density functional theory data (PBE-GGA) for Y2FeSi after structural relaxation.

```
Y2FeSi
1.0
3.217 0.000 0.000
0.000 3.217 0.000
0.000 0.000 8.031
Y Fe Si
2 1 1
Direct
0.000 0.000 0.000 Y
0.500 0.500 0.389 Y
0.000 0.000 0.634 Fe
0.500 0.500 0.752 Si
```

Properties
- ΔE_f (raw) (eV per atom) = -0.160
- M_tot (μB/f.u.) = 1.00
- calculated volume (Å³/cell) = 83.1


Repeat the third record exactly.
Density functional theory data (PBE-GGA) for Y2FeSi after structural relaxation.

```
Y2FeSi
1.0
3.217 0.000 0.000
0.000 3.217 0.000
0.000 0.000 8.031
Y Fe Si
2 1 1
Direct
0.000 0.000 0.000 Y
0.500 0.500 0.389 Y
0.000 0.000 0.634 Fe
0.500 0.500 0.752 Si
```

Properties
- ΔE_f (raw) (eV per atom) = -0.160
- M_tot (μB/f.u.) = 1.00
- calculated volume (Å³/cell) = 83.1